1.
Density functional theory data (PBE-GGA) for a relaxed Dy6Ga3Co crystal.

Results
E_tot (eV/atom): -4.725
Energy relative to the elements (eV per atom): -0.345

a = 5.0408 Å, b = 8.6580 Å, c = 11.1053 Å
α = 90.00°, β = 90.00°, γ = 90.00°
Sites, in units of the cell vectors:
Dy: 0.0000 0.6804 0.9232
Dy: 0.5000 0.8412 0.0825
Dy: 0.0000 0.9950 0.2410
Dy: 0.5000 0.1804 0.5768
Dy: 0.0000 0.0050 0.7590
Dy: 0.0000 0.6588 0.5825
Dy: 0.5000 0.5050 0.7410
Dy: 0.0000 0.3412 0.4175
Dy: 0.0000 0.3196 0.0768
Dy: 0.5000 0.1588 0.9175
Dy: 0.5000 0.8196 0.4232
Dy: 0.5000 0.4950 0.2590
Ga: 0.5000 0.5000 0.0000
Ga: 0.0000 0.3389 0.7524
Ga: 0.0000 0.0000 0.5000
Ga: 0.5000 0.8389 0.7476
Ga: 0.5000 0.1611 0.2524
Ga: 0.0000 0.6611 0.2476
Co: 0.5000 0.5000 0.5000
Co: 0.0000 0.0000 0.0000



2.
Density functional theory data (PBE-GGA) for a relaxed Dy2Ga4Co5 crystal.

Results
E_tot (eV/atom): -5.505
Energy relative to the elements (eV per atom): -0.338

a = 5.3830 Å, b = 5.2625 Å, c = 7.6369 Å
α = 79.62°, β = 69.36°, γ = 59.24°
Site moments in Bohr magnetons follow the coordinates.
Sites, in units of the cell vectors:
Co: 0.5000 0.5000 0.0000  0.40
Co: 0.7500 0.5000 0.5000  -0.09
Co: 0.0000 0.5000 0.0000  0.40
Co: 0.5000 0.0000 0.0000  0.29
Co: 0.2500 0.5000 0.5000  -0.09
Ga: 0.5275 0.6844 0.2606  0.00
Ga: 0.7881 0.6844 0.7394  0.00
Ga: 0.2119 0.3156 0.2606  0.00
Ga: 0.4725 0.3156 0.7394  0.00
Dy: 0.1268 0.0000 0.7463  -0.05
Dy: 0.8732 0.0000 0.2537  -0.05



3.
Density functional theory data (PBE-GGA) for a relaxed Dy4Ga16Co3 crystal.

Results
E_tot (eV/atom): -4.346
Energy relative to the elements (eV per atom): -0.513

a = 6.0204 Å, b = 6.0204 Å, c = 11.1130 Å
α = 90.00°, β = 90.00°, γ = 90.00°
Sites, in units of the cell vectors:
Dy: 0.5000 0.0000 0.1953
Dy: 0.5000 0.0000 0.8047
Dy: 0.0000 0.5000 0.1953
Dy: 0.0000 0.5000 0.8047
Ga: 0.2801 0.7199 0.0000
Ga: 0.7505 0.7505 0.3847
Ga: 0.0000 0.0000 0.2182
Ga: 0.2495 0.2495 0.6153
Ga: 0.7505 0.7505 0.6153
Ga: 0.5000 0.5000 0.1947
Ga: 0.7505 0.2495 0.3847
Ga: 0.2495 0.2495 0.3847
Ga: 0.7199 0.7199 0.0000
Ga: 0.0000 0.0000 0.7818
Ga: 0.7505 0.2495 0.6153
Ga: 0.2801 0.2801 0.0000
Ga: 0.5000 0.5000 0.8053
Ga: 0.7199 0.2801 0.0000
Ga: 0.2495 0.7505 0.6153
Ga: 0.2495 0.7505 0.3847
Co: 0.0000 0.0000 0.0000
Co: 0.0000 0.5000 0.5000
Co: 0.5000 0.0000 0.5000



4.
Density functional theory data (PBE-GGA) for a relaxed Dy2Ga5Co crystal.

Results
E_tot (eV/atom): -4.336
Energy relative to the elements (eV per atom): -0.406

a = 6.0540 Å, b = 6.0540 Å, c = 6.0540 Å
α = 89.54°, β = 120.27°, γ = 120.27°
Site moments in Bohr magnetons follow the coordinates.
Sites, in units of the cell vectors:
Ga: 0.0000 0.2768 0.7166  0.00
Ga: 0.4398 0.7166 0.7166  0.00
Ga: 0.5602 0.2768 0.2768  0.00
Ga: 0.0000 0.7166 0.2768  0.00
Ga: 0.0000 0.2563 0.2563  0.00
Co: 0.0000 0.9819 0.9819  0.47
Dy: 0.5000 0.2485 0.7485  0.01
Dy: 0.5000 0.7485 0.2485  0.01



5.
Density functional theory data (PBE-GGA) for a relaxed Dy4GaCo crystal.

Results
E_tot (eV/atom): -5.032
Energy relative to the elements (eV per atom): -0.275

a = 5.9552 Å, b = 7.9051 Å, c = 7.9290 Å
α = 114.26°, β = 105.01°, γ = 103.69°
Sites, in units of the cell vectors:
Dy: 0.9649 0.7827 0.1303
Dy: 0.6659 0.3479 0.1303
Dy: 0.2132 0.2969 0.3570
Dy: 0.6442 0.0609 0.3571
Dy: 0.3341 0.6521 0.8697
Dy: 0.7868 0.7031 0.6430
Dy: 0.0351 0.2173 0.8697
Dy: 0.3558 0.9391 0.6429
Co: 0.2499 0.0000 0.9998
Co: 0.7501 0.0000 0.0002
Ga: 0.3796 0.6297 0.2588
Ga: 0.6204 0.3703 0.7412



6.
Density functional theory data (PBE-GGA) for a relaxed Dy2Ga3Co4 crystal.

Results
E_tot (eV/atom): -5.568
Energy relative to the elements (eV per atom): -0.378

a = 5.3848 Å, b = 6.8874 Å, c = 7.9566 Å
α = 90.00°, β = 109.78°, γ = 90.00°
Sites, in units of the cell vectors:
Co: 0.6772 0.7500 0.8545
Co: 0.8228 0.2500 0.1455
Co: 0.6703 0.5075 0.3406
Co: 0.3297 0.4925 0.6594
Co: 0.1703 0.9925 0.3406
Co: 0.1772 0.7500 0.8545
Co: 0.3228 0.2500 0.1455
Co: 0.8297 0.0075 0.6594
Ga: 0.0150 0.7500 0.5301
Ga: 0.9850 0.2500 0.4699
Ga: 0.5000 0.5000 0.0000
Ga: 0.4850 0.2500 0.4699
Ga: 0.0000 0.0000 0.0000
Ga: 0.5150 0.7500 0.5301
Dy: 0.3958 0.0854 0.7916
Dy: 0.1042 0.5854 0.2084
Dy: 0.6042 0.9146 0.2084
Dy: 0.8958 0.4146 0.7916



7.
Density functional theory data (PBE-GGA) for a relaxed Dy2Ga4Co3 crystal.

Results
E_tot (eV/atom): -5.152
Energy relative to the elements (eV per atom): -0.416

a = 5.2457 Å, b = 5.2457 Å, c = 6.7830 Å
α = 101.12°, β = 101.12°, γ = 120.07°
Sites, in units of the cell vectors:
Co: 0.0000 0.5000 0.0000
Co: 0.5000 0.0000 0.0000
Co: 0.0000 0.0000 0.0000
Ga: 0.3247 0.9844 0.3091
Ga: 0.0156 0.6753 0.6909
Ga: 0.9844 0.3247 0.3091
Ga: 0.6753 0.0156 0.6909
Dy: 0.3751 0.3751 0.7502
Dy: 0.6249 0.6249 0.2498



8.
Density functional theory data (PBE-GGA) for a relaxed DyGa3Co3 crystal.

Results
E_tot (eV/atom): -4.790
Energy relative to the elements (eV per atom): 0.210
Energy above the most stable polymorph in this dataset (eV per atom): 0.0000

a = 6.3781 Å, b = 6.3781 Å, c = 6.3781 Å
α = 90.00°, β = 90.00°, γ = 90.00°
Sites, in units of the cell vectors:
Co: 0.5000 0.2500 0.0000
Co: 0.0000 0.5000 0.2500
Co: 0.7500 0.0000 0.5000
Co: 0.0000 0.5000 0.7500
Co: 0.5000 0.7500 0.0000
Co: 0.2500 0.0000 0.5000
Ga: 0.0000 0.7500 0.5000
Ga: 0.5000 0.0000 0.2500
Ga: 0.7500 0.5000 0.0000
Ga: 0.5000 0.0000 0.7500
Ga: 0.0000 0.2500 0.5000
Ga: 0.2500 0.5000 0.0000
Dy: 0.0000 0.0000 0.0000
Dy: 0.5000 0.5000 0.5000



Copy entry 3 word for word.
Density functional theory data (PBE-GGA) for a relaxed Dy4Ga16Co3 crystal.

Results
E_tot (eV/atom): -4.346
Energy relative to the elements (eV per atom): -0.513

a = 6.0204 Å, b = 6.0204 Å, c = 11.1130 Å
α = 90.00°, β = 90.00°, γ = 90.00°
Sites, in units of the cell vectors:
Dy: 0.5000 0.0000 0.1953
Dy: 0.5000 0.0000 0.8047
Dy: 0.0000 0.5000 0.1953
Dy: 0.0000 0.5000 0.8047
Ga: 0.2801 0.7199 0.0000
Ga: 0.7505 0.7505 0.3847
Ga: 0.0000 0.0000 0.2182
Ga: 0.2495 0.2495 0.6153
Ga: 0.7505 0.7505 0.6153
Ga: 0.5000 0.5000 0.1947
Ga: 0.7505 0.2495 0.3847
Ga: 0.2495 0.2495 0.3847
Ga: 0.7199 0.7199 0.0000
Ga: 0.0000 0.0000 0.7818
Ga: 0.7505 0.2495 0.6153
Ga: 0.2801 0.2801 0.0000
Ga: 0.5000 0.5000 0.8053
Ga: 0.7199 0.2801 0.0000
Ga: 0.2495 0.7505 0.6153
Ga: 0.2495 0.7505 0.3847
Co: 0.0000 0.0000 0.0000
Co: 0.0000 0.5000 0.5000
Co: 0.5000 0.0000 0.5000



Among the records above, which one has the highest E_tot? Dy2Ga5Co



energy relative to the elements of number 3 (Dy4Ga16Co3)? -0.513 eV per atom



Please write out number 5 again, unchanged.
Density functional theory data (PBE-GGA) for a relaxed Dy4GaCo crystal.

Results
E_tot (eV/atom): -5.032
Energy relative to the elements (eV per atom): -0.275

a = 5.9552 Å, b = 7.9051 Å, c = 7.9290 Å
α = 114.26°, β = 105.01°, γ = 103.69°
Sites, in units of the cell vectors:
Dy: 0.9649 0.7827 0.1303
Dy: 0.6659 0.3479 0.1303
Dy: 0.2132 0.2969 0.3570
Dy: 0.6442 0.0609 0.3571
Dy: 0.3341 0.6521 0.8697
Dy: 0.7868 0.7031 0.6430
Dy: 0.0351 0.2173 0.8697
Dy: 0.3558 0.9391 0.6429
Co: 0.2499 0.0000 0.9998
Co: 0.7501 0.0000 0.0002
Ga: 0.3796 0.6297 0.2588
Ga: 0.6204 0.3703 0.7412